(1)
Compound: CeNp2Pt9
Source: the Alexandria database
Functional: PBE-GGA
Structure: optimized geometry

```
CeNp2Pt9
1.0
-4.562 0.502 -2.852
-3.772 -3.862 0.235
-6.623 3.055 6.014
Pt Ce Np
9 1 2
direct
0.587 0.082 0.744
0.413 0.918 0.256
0.500 0.500 0.500
0.333 0.333 0.002
0.918 0.413 0.256
0.667 0.667 0.998
0.413 0.413 0.256
0.587 0.587 0.744
0.082 0.587 0.744
0.000 0.000 0.000
0.857 0.857 0.428
0.143 0.143 0.572
```

Values from the calculation:
**Total energy**: -7.88 eV/atom
**Space-group type**: R-3m, No. 166
**Calculated density**: 17.44 g cm⁻³
**Energy relative to the elements**: -0.694 eV/atom

(2)
Compound: Cd4CuPd5
Source: the Alexandria database
Functional: PBE-GGA
Structure: optimized geometry

```
Cd4CuPd5
1.0
-1.060 1.176 2.611
-2.017 -2.283 0.210
12.003 -9.752 9.263
Cd Pd Cu
4 5 1
direct
0.000 0.000 0.814
0.000 0.000 0.186
0.000 0.000 0.395
0.000 0.000 0.605
0.500 0.500 0.916
0.500 0.500 0.709
0.500 0.500 0.084
0.500 0.500 0.291
0.500 0.500 0.500
0.000 0.000 0.000
```

Values from the calculation:
**Total energy**: -3.72 eV/atom
**Space-group type**: P4/mmm, No. 123
**Calculated density**: 10.33 g cm⁻³
**Energy relative to the elements**: -0.346 eV/atom